a) Computed, not measured: Ti5S8 at its PBEsol-relaxed geometry at the meta-GGA SCAN level of DFT.

Unit cell a=3.3545 b=5.8345 c=11.9668 alpha=103.31 beta=98.06 gamma=90.00
Fractional coordinates of all 13 atoms:
Ti: 0.7581 0.0898 0.5162
Ti: 0.6249 0.9625 0.2498
Ti: 0.1252 0.4488 0.2503
Ti: 0.3738 0.0451 0.7475
Ti: 0.8777 0.5484 0.7555
S: 0.3117 0.3301 0.6234
S: 0.8115 0.8016 0.6230
S: 0.0631 0.0640 0.1263
S: 0.5657 0.5667 0.1313
S: 0.4380 0.7724 0.8760
S: 0.9361 0.2648 0.8721
S: 0.6900 0.3513 0.3800
S: 0.1912 0.8500 0.3824

b) Computed, not measured: Ti5S8 at its PBEsol-relaxed geometry at the meta-GGA SCAN level of DFT.

Unit cell a=6.6354 b=6.6354 c=6.7219 alpha=105.10 beta=104.28 gamma=119.09
Fractional coordinates of all 13 atoms:
Ti: 0.7375 0.2375 0.5000
Ti: 0.2625 0.7625 0.5000
Ti: 0.2548 0.7546 0.0094
Ti: 0.7452 0.2454 0.9906
Ti: 0.0000 0.0000 0.0000
S: 0.5436 0.7883 0.3319
S: 0.4564 0.2117 0.6681
S: 0.9537 0.7120 0.1709
S: 0.0463 0.2880 0.8291
S: 0.5411 0.7828 0.8291
S: 0.4589 0.2172 0.1709
S: 0.0413 0.2930 0.3343
S: 0.9587 0.7070 0.6657

Question: which arrangement is favored energetically? Ranking from most to least stable: b), a).

a) Computed, not measured: Y2ZnS4 at its PBEsol-relaxed geometry at the meta-GGA SCAN level of DFT.

Unit cell a=7.6822 b=7.6822 c=7.6822 alpha=60.00 beta=60.00 gamma=60.00
Fractional coordinates of all 14 atoms:
Y: 0.1250 0.1250 0.1250
Y: 0.1250 0.1250 0.6250
Y: 0.1250 0.6250 0.1250
Y: 0.6250 0.1250 0.1250
Zn: 0.7500 0.7500 0.7500
Zn: 0.5000 0.5000 0.5000
S: 0.8760 0.8760 0.8760
S: 0.8760 0.8760 0.3719
S: 0.8760 0.3719 0.8760
S: 0.3719 0.8760 0.8760
S: 0.3740 0.3740 0.3740
S: 0.3740 0.3740 0.8781
S: 0.3740 0.8781 0.3740
S: 0.8781 0.3740 0.3740

b) Computed, not measured: Y2ZnS4 at its PBEsol-relaxed geometry at the meta-GGA SCAN level of DFT.

Unit cell a=6.2418 b=7.8237 c=13.3625 alpha=90.00 beta=90.00 gamma=90.00
Fractional coordinates of all 28 atoms:
Y: 0.0000 0.5000 0.0000
Y: 0.5000 0.0000 0.5000
Y: 0.0000 0.0000 0.0000
Y: 0.5000 0.5000 0.5000
Y: 0.9937 0.2500 0.2655
Y: 0.5063 0.2500 0.7655
Y: 0.0063 0.7500 0.7345
Y: 0.4937 0.7500 0.2345
Zn: 0.4077 0.2500 0.0919
Zn: 0.0923 0.2500 0.5919
Zn: 0.5923 0.7500 0.9081
Zn: 0.9077 0.7500 0.4081
S: 0.7719 0.2500 0.0899
S: 0.7281 0.2500 0.5899
S: 0.2281 0.7500 0.9101
S: 0.2719 0.7500 0.4101
S: 0.2430 0.2500 0.4301
S: 0.2570 0.2500 0.9301
S: 0.7570 0.7500 0.5699
S: 0.7430 0.7500 0.0699
S: 0.2439 0.4854 0.1689
S: 0.2561 0.0146 0.6689
S: 0.7561 0.9854 0.8311
S: 0.7439 0.5146 0.3311
S: 0.7561 0.5146 0.8311
S: 0.7439 0.9854 0.3311
S: 0.2439 0.0146 0.1689
S: 0.2561 0.4854 0.6689

Question: which arrangement is favored energetically? Ranking from most to least stable: b), a).